one) BeGa3Se: relaxed, PBE.

Properties
- SG: Pm-3m (221)

abc: 4.5563 4.5563 4.5563
angles: 90.00 90.00 90.00
Element x y z (fractional)
Be: 0.0000 0.0000 0.0000
Ga: 0.0000 0.5000 0.0000
Ga: 0.0000 0.0000 0.5000
Ga: 0.5000 0.0000 0.0000
Se: 0.5000 0.5000 0.5000

---

two) BeGa3Se: relaxed, PBE.

Properties
- SG: Pm-3m (221)

abc: 5.0381 5.0381 5.0381
angles: 90.00 90.00 90.00
Element x y z (fractional)
Be: 0.5000 0.5000 0.5000
Ga: 0.0000 0.5000 0.0000
Ga: 0.0000 0.0000 0.5000
Ga: 0.5000 0.0000 0.0000
Se: 0.0000 0.0000 0.0000

---

Which structure is the most stable? The one labeled one).